Ac4AgOsBr2 | PBE-GGA | optimized geometry

abc: 7.7804 4.4447 8.6724
angles: 90.00 107.36 90.00
Element x y z (fractional)
Ac1 0.2155 0.0000 0.1966
Ac2 0.2398 0.5000 0.7980
Ac3 0.7602 0.5000 0.2020
Ac4 0.7845 0.0000 0.8034
Ag1 0.5000 0.0000 0.0000
Os1 0.0000 0.5000 0.0000
Br1 0.0000 0.0000 0.5000
Br2 0.5000 0.5000 0.5000

Summary:
* DOS at the Fermi energy: 0.49 states/eV per atom
* symmetry: P2/m
* formation energy without anion corrections: -74.9 kJ/mol of atoms